Entry 1:
Here is InPbN2 after structural relaxation from the Alexandria database. Energies are from GGA-PBEsol.

Cell: 4.3189 4.3189 4.3189 Å, 60.00 60.00 60.00°
Closest atoms and distances in Å follow each position.
Atoms (fractional coordinates):
In: 0.0000 0.0000 0.0000  8 N 2.64
Pb: 0.5000 0.5000 0.5000  8 N 2.64
N: 0.2500 0.2500 0.2500  4 Pb 2.64, 4 In 2.64
N: 0.7500 0.7500 0.7500  4 Pb 2.64, 4 In 2.64

Summary:
As for the density of states at the Fermi level: 2.7 states/eV/f.u. The formation energy (no corrections) comes out at 1.23 eV/atom. The space-group type is Fm-3m, No. 225.

=====

Entry 2:
Here is CaCuRh2 after structural relaxation from the Alexandria database. Energies are from GGA-PBEsol.

Cell: 5.2541 5.2541 2.7764 Å, 103.78 103.78 117.31°
Closest atoms and distances in Å follow each position.
Atoms (fractional coordinates):
Ca: 0.0000 0.0000 0.0000  4 Rh 2.66, 4 Cu 2.73-2.87, 2 Ca 2.78
Cu: 0.5000 0.5000 0.0000  4 Rh 2.66, 4 Ca 2.73-2.87, 2 Cu 2.78
Rh: 0.0000 0.5000 0.5000  2 Cu 2.66, 2 Ca 2.66, 6 Rh 2.73-2.87
Rh: 0.5000 0.0000 0.5000  2 Cu 2.66, 2 Ca 2.66, 6 Rh 2.73-2.87

Summary:
As for the density of states at the Fermi level: 3.3 states/eV/f.u. For the energy above the lowest structure with this stoichiometry, the calculation gives 0 meV/atom. The space-group type is C2/m, No. 12.

=====

Entry 3:
Here is Nb3AuN after structural relaxation from the Alexandria database. Energies are from GGA-PBEsol.

Cell: 4.2302 4.2302 4.2302 Å, 90.00 90.00 90.00°
Closest atoms and distances in Å follow each position.
Atoms (fractional coordinates):
Nb: 0.0000 0.0000 0.5000  2 N 2.12
Nb: 0.0000 0.5000 0.0000  2 N 2.12
Nb: 0.5000 0.0000 0.0000  2 N 2.12
Au: 0.5000 0.5000 0.5000  12 Nb 2.99
N: 0.0000 0.0000 0.0000  6 Nb 2.12

Summary:
As for the density of states at the Fermi level: 4.3 states/eV/f.u. The formation energy (no corrections) comes out at -0.61 eV/atom. The space-group type is Pm-3m, No. 221.

=====

Entry 4:
Here is La2InCo after structural relaxation from the Alexandria database. Energies are from GGA-PBEsol.

Cell: 3.2872 3.2872 9.0018 Å, 90.00 90.00 90.00°
Closest atoms and distances in Å follow each position.
Atoms (fractional coordinates):
La: 0.0000 0.0000 0.0000  4 La 3.29, 4 In 3.36
La: 0.5000 0.5000 0.3751  4 Co 2.93, 1 In 3.20
In: 0.5000 0.5000 0.7310  4 Co 2.72
Co: 0.0000 0.0000 0.5737  4 In 2.72, 4 La 2.93

Summary:
The calculation puts the calculated total energy at -21.54 eV/f.u. As for the density of states at the Fermi level: 4.2 states/eV/f.u. The space-group type is P4mm, No. 99.

=====

Entry 5:
Here is Nb2NF after structural relaxation from the Alexandria database. Energies are from GGA-PBEsol.

Cell: 5.7500 5.7500 5.7500 Å, 127.13 127.13 78.04°
Closest atoms and distances in Å follow each position.
Atoms (fractional coordinates):
Nb: 0.0795 0.1250 0.4545  2 N 2.00
Nb: 0.3750 0.9205 0.0455  2 N 2.00
Nb: 0.6705 0.6250 0.5455  2 N 2.00
Nb: 0.8750 0.3295 0.9545  2 N 2.00
N: 0.0000 0.0000 0.0000  4 Nb 2.00
N: 0.7500 0.2500 0.5000  4 Nb 2.00
F: 0.2500 0.7500 0.5000  4 Nb 2.27
F: 0.5000 0.5000 0.0000  4 Nb 2.27

Summary:
As for the density of states at the Fermi level: 3.7 states/eV/f.u. The formation energy (no corrections) comes out at -0.68 eV/atom. The space-group type is I-42d, No. 122.

=====

Entry 6:
Here is Tb2W3O12 after structural relaxation from the Alexandria database. Energies are from GGA-PBEsol.

Cell: 6.7865 6.7865 11.2852 Å, 100.52 100.52 111.75°
Closest atoms and distances in Å follow each position.
Atoms (fractional coordinates):
Tb: 0.0424 0.2893 0.0923  8 O 2.30-2.41
Tb: 0.2893 0.0424 0.5923  8 O 2.30-2.41
Tb: 0.7107 0.9576 0.4077  8 O 2.30-2.41
Tb: 0.9576 0.7107 0.9077  8 O 2.30-2.41
W: 0.1340 0.8660 0.2500  4 O 1.77-1.82
W: 0.2455 0.4619 0.4480  4 O 1.76-1.89
W: 0.4619 0.2455 0.9480  4 O 1.76-1.89
W: 0.5381 0.7545 0.0520  4 O 1.76-1.89
W: 0.7545 0.5381 0.5520  4 O 1.76-1.89
W: 0.8660 0.1340 0.7500  4 O 1.77-1.82
O: 0.0784 0.6594 0.1051  1 W 1.82
O: 0.0845 0.1808 0.4580  1 W 1.85
O: 0.0994 0.4651 0.2982  1 W 1.80
O: 0.1282 0.2096 0.7201  1 W 1.77
O: 0.1808 0.0845 0.9580  1 W 1.85
O: 0.2096 0.1282 0.2201  1 W 1.77
O: 0.2270 0.6659 0.5609  1 W 1.76
O: 0.3341 0.7730 0.9391  1 W 1.76
O: 0.3406 0.9216 0.3949  1 W 1.82
O: 0.3988 0.4727 0.0763  1 W 1.89
O: 0.4651 0.0994 0.7982  1 W 1.80
O: 0.4727 0.3988 0.5763  1 W 1.89
O: 0.5273 0.6012 0.4237  1 W 1.89
O: 0.5349 0.9006 0.2018  1 W 1.80
O: 0.6012 0.5273 0.9237  1 W 1.89
O: 0.6594 0.0784 0.6051  1 W 1.82
O: 0.6659 0.2270 0.0609  1 W 1.76
O: 0.7730 0.3341 0.4391  1 W 1.76
O: 0.7904 0.8718 0.7799  1 W 1.77
O: 0.8192 0.9155 0.0420  1 W 1.85
O: 0.8718 0.7904 0.2799  1 W 1.77
O: 0.9006 0.5349 0.7018  1 W 1.80
O: 0.9155 0.8192 0.5420  1 W 1.85
O: 0.9216 0.3406 0.8949  1 W 1.82

Summary:
As for the density of states at the Fermi level: 0.0 states/eV/f.u. The formation energy (no corrections) comes out at -2.63 eV/atom. The space-group type is C2/c, No. 15.

=====

Entry 7:
Here is SrCoCl2 after structural relaxation from the Alexandria database. Energies are from GGA-PBEsol.

Cell: 6.0735 6.0735 6.0735 Å, 141.99 141.99 54.84°
Closest atoms and distances in Å follow each position.
Atoms (fractional coordinates):
Sr: 0.0000 0.0000 0.0000  4 Cl 2.80
Co: 0.2500 0.7500 0.5000  4 Cl 2.80
Cl: 0.5000 0.5000 0.0000  4 Sr 2.80
Cl: 0.7500 0.2500 0.5000  4 Co 2.80

Summary:
As for the density of states at the Fermi level: 7.5 states/eV/f.u. For the energy above the lowest structure with this stoichiometry, the calculation gives 310 meV/atom. The formation energy (no corrections) comes out at -0.61 eV/atom. The space-group type is I-4m2, No. 119.

=====

Entry 8:
Here is Li3BiPd after structural relaxation from the Alexandria database. Energies are from GGA-PBEsol.

Cell: 4.6040 4.6040 4.6040 Å, 90.00 90.00 90.00°
Closest atoms and distances in Å follow each position.
Atoms (fractional coordinates):
Li: 0.0000 0.0000 0.5000  2 Pd 2.30
Li: 0.0000 0.5000 0.0000  2 Pd 2.30
Li: 0.5000 0.0000 0.0000  2 Pd 2.30
Bi: 0.5000 0.5000 0.5000  12 Li 3.26
Pd: 0.0000 0.0000 0.0000  6 Li 2.30

Summary:
As for the density of states at the Fermi level: 2.7 states/eV/f.u. For the energy above the lowest structure with this stoichiometry, the calculation gives 0 meV/atom. The space-group type is Pm-3m, No. 221.

=====

Entry 9:
Here is Sr6Mg7H26 after structural relaxation from the Alexandria database. Energies are from GGA-PBEsol.

Cell: 9.3931 9.3931 11.4223 Å, 126.47 126.47 34.58°
Closest atoms and distances in Å follow each position.
Atoms (fractional coordinates):
Sr: 0.1448 0.1448 0.4066  8 H 2.41-2.64
Sr: 0.1592 0.1592 0.9014  7 H 2.47-2.67
Sr: 0.3526 0.3526 0.8468  8 H 2.42-2.67
Sr: 0.6474 0.6474 0.1532  8 H 2.42-2.67
Sr: 0.8408 0.8408 0.0986  7 H 2.47-2.67
Sr: 0.8552 0.8552 0.5934  8 H 2.41-2.64
Mg: 0.0000 0.0000 0.0000  6 H 1.89-1.94
Mg: 0.2426 0.7574 0.5000  6 H 1.90-1.93
Mg: 0.2781 0.2781 0.2891  6 H 1.88-2.09
Mg: 0.4857 0.4857 0.2248  6 H 1.89-2.01
Mg: 0.5143 0.5143 0.7752  6 H 1.89-2.01
Mg: 0.7219 0.7219 0.7109  6 H 1.88-2.09
Mg: 0.7574 0.2426 0.5000  6 H 1.90-1.93
H: 0.0095 0.4968 0.3797  1 Mg 1.92
H: 0.0138 0.4862 0.1426  1 Mg 1.94
H: 0.0969 0.0969 0.5830  2 Mg 1.92
H: 0.1303 0.1303 0.1691  2 Mg 1.89-2.09
H: 0.2066 0.7709 0.3213  2 Mg 1.90-1.93
H: 0.2291 0.7934 0.6787  2 Mg 1.90-1.93
H: 0.2311 0.7187 0.0857  2 Mg 1.94-2.01
H: 0.2813 0.7689 0.9143  2 Mg 1.94-2.01
H: 0.3494 0.3494 0.0774  1 Mg 1.92
H: 0.3808 0.3808 0.6631  1 Mg 1.89
H: 0.4123 0.4123 0.4231  3 Mg 1.88-1.90
H: 0.4862 0.0138 0.1426  1 Mg 1.94
H: 0.4968 0.0095 0.3797  1 Mg 1.92
H: 0.5032 0.9905 0.6203  1 Mg 1.92
H: 0.5138 0.9862 0.8574  1 Mg 1.94
H: 0.5877 0.5877 0.5769  3 Mg 1.88-1.90
H: 0.6192 0.6192 0.3369  1 Mg 1.89
H: 0.6506 0.6506 0.9226  1 Mg 1.92
H: 0.7187 0.2311 0.0857  2 Mg 1.94-2.01
H: 0.7689 0.2813 0.9143  2 Mg 1.94-2.01
H: 0.7709 0.2066 0.3213  2 Mg 1.90-1.93
H: 0.7934 0.2291 0.6787  2 Mg 1.90-1.93
H: 0.8697 0.8697 0.8309  2 Mg 1.89-2.09
H: 0.9031 0.9031 0.4170  2 Mg 1.92
H: 0.9862 0.5138 0.8574  1 Mg 1.94
H: 0.9905 0.5032 0.6203  1 Mg 1.92

Summary:
The calculation puts the calculated total energy at -123.74 eV/f.u. As for the density of states at the Fermi level: 0.0 states/eV/f.u. The space-group type is C2/m, No. 12.

=====

Entry 10:
Here is ZrGaRh3 after structural relaxation from the Alexandria database. Energies are from GGA-PBEsol.

Cell: 4.6786 4.6786 4.6786 Å, 90.00 90.00 90.00°
Closest atoms and distances in Å follow each position.
Atoms (fractional coordinates):
Zr: 0.0000 0.0000 0.0000  6 Rh 2.34
Ga: 0.5000 0.5000 0.5000  12 Rh 3.31
Rh: 0.0000 0.0000 0.5000  2 Zr 2.34
Rh: 0.0000 0.5000 0.0000  2 Zr 2.34
Rh: 0.5000 0.0000 0.0000  2 Zr 2.34

Summary:
The calculation puts the calculated total energy at -32.17 eV/f.u. As for the density of states at the Fermi level: 1.4 states/eV/f.u. The space-group type is Pm-3m, No. 221.

=====

Entry 11:
Here is ZnAu3Cl after structural relaxation from the Alexandria database. Energies are from GGA-PBEsol.

Cell: 4.8448 4.8448 4.8448 Å, 90.00 90.00 90.00°
Closest atoms and distances in Å follow each position.
Atoms (fractional coordinates):
Zn: 0.0000 0.0000 0.0000  12 Au 3.43
Au: 0.0000 0.5000 0.5000  2 Cl 2.42
Au: 0.5000 0.0000 0.5000  2 Cl 2.42
Au: 0.5000 0.5000 0.0000  2 Cl 2.42
Cl: 0.5000 0.5000 0.5000  6 Au 2.42

Summary:
As for the density of states at the Fermi level: 2.4 states/eV/f.u. The formation energy (no corrections) comes out at 0.98 eV/atom. The space-group type is Pm-3m, No. 221.

=====

Entry 12:
Here is InGa2Ge2 after structural relaxation from the Alexandria database. Energies are from GGA-PBEsol.

Cell: 5.8673 5.8673 5.8673 Å, 133.64 133.64 67.65°
Closest atoms and distances in Å follow each position.
Atoms (fractional coordinates):
In: 0.0000 0.0000 0.0000  8 Ga 3.36, 10 Ge 3.49-3.65
Ga: 0.2500 0.7500 0.5000  4 Ge 2.61
Ga: 0.7500 0.2500 0.5000  4 Ge 2.61
Ge: 0.3742 0.3742 0.0000  1 Ge 2.45, 4 Ga 2.61
Ge: 0.6258 0.6258 0.0000  1 Ge 2.45, 4 Ga 2.61

Summary:
The calculation puts the calculated total energy at -19.19 eV/f.u. As for the density of states at the Fermi level: 1.7 states/eV/f.u. The space-group type is I4/mmm, No. 139.